1.
VASP calculation (SCAN) on a PBEsol-optimized structure of BaLiMg2.

a = 3.679 Å, b = 3.679 Å, c = 8.486 Å
α = 90.00°, β = 90.00°, γ = 90.00°
Sites, in units of the cell vectors:
Ba (0.000, 0.000, 0.000)
Li (0.000, 0.000, 0.500)
Mg (0.500, 0.500, 0.315)
Mg (0.500, 0.500, 0.685)

Calculated total energy = -12.97 eV per atom
E above lowest polymorph = 0 meV/atom
Space-group type = P4/mmm, No. 123
Calculated formation energy = 5 meV/atom

=====

2.
VASP calculation (SCAN) on a PBEsol-optimized structure of LaSbIrI2.

a = 5.973 Å, b = 5.973 Å, c = 6.388 Å
α = 90.00°, β = 90.00°, γ = 90.00°
Sites, in units of the cell vectors:
La (0.000, 0.000, 0.000)
Sb (0.000, 0.000, 0.500)
Ir (0.500, 0.500, 0.500)
I (0.000, 0.500, 0.000)
I (0.500, 0.000, 0.000)

Calculated total energy = -44.22 eV per atom
Energy relative to the elements, uncorrected = 3.844 eV per formula unit
Space-group type = P4/mmm, No. 123

=====

3.
VASP calculation (SCAN) on a PBEsol-optimized structure of CdCuNO2.

a = 4.101 Å, b = 4.101 Å, c = 4.116 Å
α = 90.00°, β = 90.00°, γ = 90.00°
Sites, in units of the cell vectors:
Cd (0.000, 0.000, 0.000)
Cu (0.500, 0.500, 0.500)
N (0.000, 0.000, 0.500)
O (0.000, 0.500, 0.000)
O (0.500, 0.000, 0.000)

Calculated total energy = -12.31 eV per atom
Energy relative to the elements, uncorrected = 5.793 eV per formula unit
Space-group type = P4/mmm, No. 123

=====

4.
VASP calculation (SCAN) on a PBEsol-optimized structure of ReSbTe.

a = 8.198 Å, b = 7.910 Å, c = 3.114 Å
α = 84.11°, β = 73.69°, γ = 22.20°
Sites, in units of the cell vectors:
Re (0.000, 0.000, 0.000)
Sb (0.644, 0.644, 0.356)
Te (0.361, 0.361, 0.639)

Calculated total energy = -47.79 eV per atom
Energy relative to the elements, uncorrected = 2.252 eV per formula unit
E above lowest polymorph = 0 meV/atom
Space-group type = Fmm2, No. 42

=====

5.
VASP calculation (SCAN) on a PBEsol-optimized structure of Li4BH10N3.

a = 9.000 Å, b = 9.000 Å, c = 9.000 Å
α = 109.47°, β = 109.47°, γ = 109.47°
Sites, in units of the cell vectors:
Li (0.000, 0.534, 0.500)
Li (0.219, 0.750, 0.969)
Li (0.250, 0.531, 0.281)
Li (0.250, 0.768, 0.518)
Li (0.281, 0.250, 0.531)
Li (0.500, 0.000, 0.534)
Li (0.518, 0.250, 0.768)
Li (0.531, 0.281, 0.250)
Li (0.534, 0.500, 0.000)
Li (0.732, 0.982, 0.750)
Li (0.750, 0.732, 0.982)
Li (0.750, 0.969, 0.219)
Li (0.768, 0.518, 0.250)
Li (0.966, 0.966, 0.966)
Li (0.969, 0.219, 0.750)
Li (0.982, 0.750, 0.732)
B (0.000, 0.278, 0.500)
B (0.222, 0.222, 0.222)
B (0.278, 0.500, 0.000)
B (0.500, 0.000, 0.278)
H (0.000, 0.141, 0.500)
H (0.063, 0.799, 0.098)
H (0.098, 0.063, 0.799)
H (0.114, 0.261, 0.142)
H (0.141, 0.500, 0.000)
H (0.142, 0.114, 0.261)
H (0.147, 0.386, 0.527)
H (0.191, 0.996, 0.586)
H (0.201, 0.965, 0.402)
H (0.239, 0.353, 0.880)
H (0.261, 0.142, 0.114)
H (0.299, 0.701, 0.764)
H (0.309, 0.895, 0.804)
H (0.353, 0.880, 0.239)
H (0.358, 0.620, 0.973)
H (0.359, 0.359, 0.359)
H (0.386, 0.527, 0.147)
H (0.402, 0.201, 0.965)
H (0.437, 0.535, 0.736)
H (0.500, 0.000, 0.141)
H (0.504, 0.696, 0.590)
H (0.527, 0.147, 0.386)
H (0.535, 0.736, 0.437)
H (0.586, 0.191, 0.996)
H (0.590, 0.504, 0.696)
H (0.605, 0.914, 0.910)
H (0.620, 0.973, 0.358)
H (0.696, 0.590, 0.504)
H (0.701, 0.764, 0.299)
H (0.736, 0.437, 0.535)
H (0.764, 0.299, 0.701)
H (0.799, 0.098, 0.063)
H (0.804, 0.309, 0.895)
H (0.880, 0.239, 0.353)
H (0.895, 0.804, 0.309)
H (0.910, 0.605, 0.914)
H (0.914, 0.910, 0.605)
H (0.965, 0.402, 0.201)
H (0.973, 0.358, 0.620)
H (0.996, 0.586, 0.191)
N (0.021, 0.540, 0.283)
N (0.217, 0.757, 0.738)
N (0.283, 0.021, 0.540)
N (0.479, 0.762, 0.519)
N (0.519, 0.479, 0.762)
N (0.540, 0.283, 0.021)
N (0.738, 0.217, 0.757)
N (0.743, 0.960, 0.981)
N (0.757, 0.738, 0.217)
N (0.762, 0.519, 0.479)
N (0.960, 0.981, 0.743)
N (0.981, 0.743, 0.960)

Calculated total energy = -4.94 eV per atom
Space-group type = I2_13, No. 199

=====

6.
VASP calculation (SCAN) on a PBEsol-optimized structure of Ag2Te2Pb.

a = 8.128 Å, b = 8.128 Å, c = 8.128 Å
α = 150.78°, β = 150.78°, γ = 41.79°
Sites, in units of the cell vectors:
Ag (0.250, 0.750, 0.500)
Ag (0.750, 0.250, 0.500)
Te (0.117, 0.117, 0.000)
Te (0.883, 0.883, 0.000)
Pb (0.500, 0.500, 0.000)

Calculated total energy = -42.71 eV per atom
Energy relative to the elements, uncorrected = -0.516 eV per formula unit
Space-group type = I4/mmm, No. 139